Computed, not measured: YBi2Au2 after structural relaxation at the GGA-PBEsol level of DFT.

Calculated values
For the energy of formation, the calculation gives -227 meV/atom. The value obtained for the total magnetic moment is 0.00 μB/cell. The space-group type is No. 139.

Cell lengths 8.2075, 8.2075, 8.2075 Å; angles 151.78, 151.78, 40.33 degrees
Closest atoms and distances in Å follow each position.
Positions (direct):
Y: 0.0000 0.0000 0.0000  8 Bi 3.27
Bi: 0.3942 0.3942 0.0000  4 Au 2.99, 1 Bi 3.26, 4 Y 3.27
Bi: 0.6058 0.6058 0.0000  4 Au 2.99, 1 Bi 3.26, 4 Y 3.27
Au: 0.2500 0.7500 0.5000  4 Au 2.83, 4 Bi 2.99
Au: 0.7500 0.2500 0.5000  4 Au 2.83, 4 Bi 2.99



Computed, not measured: Zn2BiAu2 after structural relaxation at the GGA-PBEsol level of DFT.

Calculated values
For the energy of formation, the calculation gives -84 meV/atom. The value obtained for the total magnetic moment is 0.00 μB/cell. As for the offset from the most stable computed form: 38 meV per atom. The space-group type is No. 127.

Cell lengths 7.8143, 7.8143, 3.0075 Å; angles 90.00, 90.00, 90.00 degrees
Closest atoms and distances in Å follow each position.
Positions (direct):
Zn: 0.1557 0.3443 0.0000  6 Au 2.73-2.75, 2 Zn 3.01
Zn: 0.3443 0.8443 0.0000  6 Au 2.73-2.75, 2 Zn 3.01
Zn: 0.6557 0.1557 0.0000  6 Au 2.73-2.75, 2 Zn 3.01
Zn: 0.8443 0.6557 0.0000  6 Au 2.73-2.75, 2 Zn 3.01
Bi: 0.0000 0.0000 0.5000  2 Bi 3.01, 4 Au 3.03, 8 Zn 3.31
Bi: 0.5000 0.5000 0.5000  2 Bi 3.01, 4 Au 3.03, 8 Zn 3.31
Au: 0.1381 0.6381 0.5000  6 Zn 2.73-2.75, 3 Au 3.01-3.05, 2 Bi 3.03
Au: 0.3619 0.1381 0.5000  6 Zn 2.73-2.75, 3 Au 3.01-3.05, 2 Bi 3.03
Au: 0.6381 0.8619 0.5000  6 Zn 2.73-2.75, 3 Au 3.01-3.05, 2 Bi 3.03
Au: 0.8619 0.3619 0.5000  6 Zn 2.73-2.75, 3 Au 3.01-3.05, 2 Bi 3.03



Computed, not measured: Zn3BiAu after structural relaxation at the GGA-PBEsol level of DFT.

Calculated values
For the energy of formation, the calculation gives 881 meV/atom. The value obtained for the total magnetic moment is 0.00 μB/cell. The space-group type is No. 221.

Cell lengths 5.2903, 5.2903, 5.2903 Å; angles 90.00, 90.00, 90.00 degrees
Closest atoms and distances in Å follow each position.
Positions (direct):
Zn: 0.0000 0.0000 0.5000  2 Bi 2.65
Zn: 0.0000 0.5000 0.0000  2 Bi 2.65
Zn: 0.5000 0.0000 0.0000  2 Bi 2.65
Bi: 0.0000 0.0000 0.0000  6 Zn 2.65
Au: 0.5000 0.5000 0.5000  12 Zn 3.74



Computed, not measured: Zn2BiAu2 after structural relaxation at the GGA-PBEsol level of DFT.

Calculated values
For the energy of formation, the calculation gives -122 meV/atom. The value obtained for the total magnetic moment is 0.00 μB/cell. As for the offset from the most stable computed form: 0 meV per atom. The space-group type is No. 139.

Cell lengths 6.9534, 6.9534, 6.9534 Å; angles 147.87, 147.87, 46.08 degrees
Closest atoms and distances in Å follow each position.
Positions (direct):
Zn: 0.2500 0.7500 0.5000  4 Au 2.62, 4 Zn 2.72
Zn: 0.7500 0.2500 0.5000  4 Au 2.62, 4 Zn 2.72
Bi: 0.0000 0.0000 0.0000  8 Au 3.07
Au: 0.3887 0.3887 0.0000  4 Zn 2.62, 1 Au 2.85
Au: 0.6113 0.6113 0.0000  4 Zn 2.62, 1 Au 2.85



Computed, not measured: AuBr2 after structural relaxation at the GGA-PBEsol level of DFT.

Calculated values
The value obtained for the total magnetic moment is 0.00 μB/cell. The space-group type is No. 58. The value obtained for the uncorrected formation energy is -40 meV per atom.

Cell lengths 6.6500, 7.2359, 3.7648 Å; angles 90.00, 90.00, 90.00 degrees
Closest atoms and distances in Å follow each position.
Positions (direct):
Au: 0.0000 0.0000 0.0000  4 Br 2.55
Au: 0.5000 0.5000 0.5000  4 Br 2.55
Br: 0.1989 0.1535 0.5000  2 Au 2.55
Br: 0.3011 0.6535 0.0000  2 Au 2.55
Br: 0.6989 0.3465 0.0000  2 Au 2.55
Br: 0.8011 0.8465 0.5000  2 Au 2.55



Computed, not measured: AuBr3 after structural relaxation at the GGA-PBEsol level of DFT.

Calculated values
The value obtained for the total magnetic moment is 0.00 μB/cell. The space-group type is No. 229. The value obtained for the uncorrected formation energy is 390 meV per atom.

Cell lengths 5.0335, 5.0335, 5.0335 Å; angles 109.47, 109.47, 109.47 degrees
Closest atoms and distances in Å follow each position.
Positions (direct):
Au: 0.0000 0.0000 0.0000  6 Br 2.91
Br: 0.0000 0.5000 0.5000  4 Br 2.91, 2 Au 2.91
Br: 0.5000 0.0000 0.5000  4 Br 2.91, 2 Au 2.91
Br: 0.5000 0.5000 0.0000  4 Br 2.91, 2 Au 2.91